Version P
4
Lattice="0.0000 3.1967 3.1967 3.1967 0.0000 3.1967 3.1967 3.1967 0.0000" Properties=species:S:1:pos:R:3 comment="LiTaTlNi | OQMD via LeMat-Bulk | PBE-GGA | relaxed" space_group=F-43m pbc="T T T"
Li 0.0000 0.0000 0.0000
Ta 1.5983 1.5983 1.5983
Tl 3.1967 3.1967 3.1967
Ni 4.7950 4.7950 4.7950

Version Q
4
Lattice="0.0000 3.1237 3.1237 3.1237 0.0000 3.1237 3.1237 3.1237 0.0000" Properties=species:S:1:pos:R:3 comment="LiTaTlNi | OQMD via LeMat-Bulk | PBE-GGA | relaxed" space_group=F-43m pbc="T T T"
Li 0.0000 0.0000 0.0000
Ta 4.6856 4.6856 4.6856
Tl 1.5619 1.5619 1.5619
Ni 3.1237 3.1237 3.1237

Unit: kJ/mol of atoms. Relative energies: version P 34.7; version Q 0.0.

Version P
4
Lattice="0.0000 2.9625 2.9625 2.9625 0.0000 2.9625 2.9625 2.9625 0.0000" Properties=species:S:1:pos:R:3 comment="LiTaZnNi | OQMD via LeMat-Bulk | PBE-GGA | relaxed" space_group=F-43m pbc="T T T"
Li 0.0000 0.0000 0.0000
Ta 4.4438 4.4438 4.4438
Zn 1.4813 1.4813 1.4813
Ni 2.9625 2.9625 2.9625

Version Q
4
Lattice="0.0000 2.9835 2.9835 2.9835 0.0000 2.9835 2.9835 2.9835 0.0000" Properties=species:S:1:pos:R:3 comment="LiTaZnNi | OQMD via LeMat-Bulk | PBE-GGA | relaxed" space_group=F-43m pbc="T T T"
Li 0.0000 0.0000 0.0000
Ta 1.4918 1.4918 1.4918
Zn 2.9835 2.9835 2.9835
Ni 4.4752 4.4752 4.4752

Unit: kJ/mol of atoms. Relative energies: version P 0.0; version Q 32.0.

Version P
3
Lattice="0.0000 3.0482 3.0482 3.0482 0.0000 3.0482 3.0482 3.0482 0.0000" Properties=species:S:1:pos:R:3 comment="LiUNi | OQMD via LeMat-Bulk | PBE-GGA | relaxed" space_group=F-43m pbc="T T T"
Li 0.0000 0.0000 0.0000
U 1.5241 1.5241 1.5241
Ni 3.0482 3.0482 3.0482

Version Q
3
Lattice="0.0000 3.0462 3.0462 3.0462 0.0000 3.0462 3.0462 3.0462 0.0000" Properties=species:S:1:pos:R:3 comment="LiUNi | OQMD via LeMat-Bulk | PBE-GGA | relaxed" space_group=F-43m pbc="T T T"
Li 0.0000 0.0000 0.0000
U 3.0462 3.0462 3.0462
Ni 4.5693 4.5693 4.5693

Unit: kJ/mol of atoms. Relative energies: version P 51.5; version Q 0.0.

Version P
4
Lattice="2.9243 -2.9555 0.0000 2.9243 2.9555 0.0000 0.0000 0.0000 2.8874" Properties=species:S:1:pos:R:3 comment="LiZn2Ni | OQMD via LeMat-Bulk | PBE-GGA | relaxed" space_group=Cmmm pbc="T T T"
Li 0.0000 0.0000 0.0000
Zn 1.4621 1.4778 1.4437
Zn 1.4621 -1.4778 1.4437
Ni 2.9243 0.0000 0.0000

Version Q
4
Lattice="0.0000 2.9255 2.9255 2.9255 0.0000 2.9255 2.9255 2.9255 0.0000" Properties=species:S:1:pos:R:3 comment="LiZn2Ni | OQMD via LeMat-Bulk | PBE-GGA | relaxed" space_group=Fm-3m pbc="T T T"
Li 0.0000 0.0000 0.0000
Zn 1.4628 1.4628 1.4628
Zn 4.3883 4.3883 4.3883
Ni 2.9255 2.9255 2.9255

Version R
4
Lattice="2.8180 0.0000 0.0000 0.0000 2.8180 0.0000 0.0000 0.0000 6.5772" Properties=species:S:1:pos:R:3 comment="LiZn2Ni | OQMD via LeMat-Bulk | PBE-GGA | relaxed" space_group=P4/mmm pbc="T T T"
Li 0.0000 0.0000 0.0000
Zn 1.4090 1.4090 1.7798
Zn 1.4090 1.4090 4.7974
Ni 0.0000 0.0000 3.2886

Version S
8
Lattice="4.1547 0.0000 0.0000 -2.0774 3.5981 0.0000 0.0000 0.0000 7.2556" Properties=species:S:1:pos:R:3 comment="LiZn2Ni | OQMD via LeMat-Bulk | PBE-GGA | relaxed" space_group=P6_3/mmc pbc="T T T"
Li 0.0000 0.0000 0.0000
Li 0.0000 0.0000 3.6278
Zn 0.0000 2.3987 0.6300
Zn 0.0000 2.3987 2.9979
Zn 2.0774 1.1994 4.2578
Zn 2.0774 1.1994 6.6257
Ni 0.0000 2.3987 5.4417
Ni 2.0774 1.1994 1.8139

Unit: kJ/mol of atoms. Relative energies: version P 3.1; version Q 0.0; version R 4.2; version S 14.4.

Version P
4
Lattice="0.0000 2.9047 2.9047 2.9047 0.0000 2.9047 2.9047 2.9047 0.0000" Properties=species:S:1:pos:R:3 comment="LiZn2Ni | OQMD via LeMat-Bulk | PBE-GGA | relaxed" space_group=Fm-3m pbc="T T T"
Li 0.0000 0.0000 0.0000
Zn 1.4524 1.4524 1.4524
Zn 4.3571 4.3571 4.3571
Ni 2.9047 2.9047 2.9047

Version Q
8
Lattice="4.0297 0.0000 0.0000 -2.0148 3.4898 0.0000 0.0000 0.0000 7.5607" Properties=species:S:1:pos:R:3 comment="LiZn2Ni | OQMD via LeMat-Bulk | PBE-GGA | relaxed" space_group=P6_3/mmc pbc="T T T"
Li 0.0000 2.3265 1.8902
Li 2.0148 1.1633 5.6706
Zn 0.0000 2.3265 4.4138
Zn 0.0000 2.3265 6.9273
Zn 2.0148 1.1633 0.6334
Zn 2.0148 1.1633 3.1469
Ni 0.0000 0.0000 1.8902
Ni 0.0000 0.0000 5.6706

Version R
4
Lattice="4.1497 0.0000 0.0000 0.0000 4.1497 0.0000 0.0000 0.0000 2.8979" Properties=species:S:1:pos:R:3 comment="LiZn2Ni | OQMD via LeMat-Bulk | PBE-GGA | relaxed" space_group=P4/mmm pbc="T T T"
Li 0.0000 0.0000 0.0000
Zn 0.0000 2.0749 1.4489
Zn 2.0749 0.0000 1.4489
Ni 2.0749 2.0749 0.0000

Version S
8
Lattice="4.1015 0.0000 0.0000 -2.0508 3.5520 0.0000 0.0000 0.0000 7.8218" Properties=species:S:1:pos:R:3 comment="LiZn2Ni | OQMD via LeMat-Bulk | PBE-GGA | relaxed" space_group=P6_3/mmc pbc="T T T"
Li 0.0000 2.3680 1.9555
Li 2.0508 1.1840 5.8664
Zn 0.0000 2.3680 4.5662
Zn 0.0000 2.3680 7.1665
Zn 2.0508 1.1840 0.6553
Zn 2.0508 1.1840 3.2556
Ni 0.0000 0.0000 0.0000
Ni 0.0000 0.0000 3.9109

Unit: kJ/mol of atoms. Relative energies: version P 0.0; version Q 30.3; version R 2.6; version S 15.3.

Version P
3
Lattice="0.0000 3.4228 3.4228 3.4228 0.0000 3.4228 3.4228 3.4228 0.0000" Properties=species:S:1:pos:R:3 comment="LiNpTe | OQMD via LeMat-Bulk | PBE-GGA | relaxed" space_group=F-43m pbc="T T T"
Li 0.0000 0.0000 0.0000
Np 3.4228 3.4228 3.4228
Te 1.7114 1.7114 1.7114

Version Q
3
Lattice="0.0000 3.5488 3.5488 3.5488 0.0000 3.5488 3.5488 3.5488 0.0000" Properties=species:S:1:pos:R:3 comment="LiNpTe | OQMD via LeMat-Bulk | PBE-GGA | relaxed" space_group=F-43m pbc="T T T"
Li 0.0000 0.0000 0.0000
Np 1.7744 1.7744 1.7744
Te 3.5488 3.5488 3.5488

Unit: kJ/mol of atoms. Relative energies: version P 0.0; version Q 20.8.

Version P
24
Lattice="9.0379 0.0000 0.0000 0.0000 3.1584 0.0000 -0.4350 0.0000 9.0172" Properties=species:S:1:pos:R:3 comment="LiOsO4 | OQMD via LeMat-Bulk | PBE-GGA | relaxed" space_group=P2/c pbc="T T T"
Li 1.8281 0.0000 9.0172
Li 2.0456 0.0000 4.5086
Li 6.7749 0.0000 0.0000
Li 6.5574 0.0000 4.5087
Os -0.1087 1.2728 2.2543
Os -0.3262 1.8856 6.7629
Os 4.4102 1.2730 2.2543
Os 4.1927 1.8854 6.7629
O 0.5706 0.0606 5.9054
O 0.7881 3.0979 1.3968
O 0.8717 1.5000 8.0188
O 1.0892 1.6584 3.5101
O 2.9930 1.5003 5.5090
O 3.2105 1.6581 1.0004
O 3.2929 0.0617 7.6239
O 3.5103 3.0967 3.1152
O 5.0926 0.0617 5.9020
O 5.3101 3.0967 1.3934
O 5.3924 1.5003 8.0169
O 5.6099 1.6581 3.5082
O 7.5137 1.5000 5.5071
O 7.7312 1.6584 0.9985
O 7.8148 0.0606 7.6204
O 8.0323 3.0979 3.1118

Version Q
12
Lattice="4.6179 0.0000 0.0000 0.0000 5.5465 0.0000 -0.1799 0.0000 4.9583" Properties=species:S:1:pos:R:3 comment="LiOsO4 | OQMD via LeMat-Bulk | PBE-GGA | relaxed" space_group=P2/c pbc="T T T"
Li -0.0450 0.9181 1.2396
Li -0.1349 4.6284 3.7187
Os 2.1740 1.8112 3.7187
Os 2.2640 3.7354 1.2396
O 0.9788 0.7034 3.0369
O 1.0688 4.8432 0.5577
O 1.3240 2.1713 0.3199
O 1.2340 3.3752 2.7990
O 3.2040 2.1713 2.1593
O 3.1140 3.3752 4.6384
O 3.3691 0.7034 4.4006
O 3.4591 4.8432 1.9214

Version R
48
Lattice="5.5424 0.0000 0.0000 -1.0231 9.8055 0.0000 -1.9642 -4.9046 9.8385" Properties=species:S:1:pos:R:3 comment="LiOsO4 | OQMD via LeMat-Bulk | PBE-GGA | relaxed" space_group=P1 pbc="T T T"
Li 0.0000 0.0000 0.0000
Li -2.1200 3.6254 7.0210
Li -0.4019 1.3847 2.6428
Li -0.0216 8.4934 2.4705
Li 2.6176 4.9943 0.0273
Li 2.2796 6.3992 2.6960
Li 3.1903 3.5140 2.8144
Li 2.6827 -2.0316 9.7004
Os -0.0826 5.0356 2.1215
Os -0.9316 6.3784 4.9398
Os -0.5082 -2.1456 7.5808
Os 0.8251 3.6600 4.8947
Os 2.3812 1.3521 0.5331
Os 0.3349 4.9666 7.6034
Os 2.4140 0.9444 4.7916
Os 3.3398 0.4887 7.6817
O -0.3093 3.2838 1.7790
O -1.6682 2.0431 8.2490
O -0.8660 4.5484 4.0649
O -1.1425 -2.9444 9.2175
O -1.4253 5.7500 6.8124
O -0.4938 -0.3393 8.1908
O 0.0014 6.7050 3.2989
O 1.2330 0.5767 1.6379
O -0.2057 3.4356 6.5264
O 1.0486 5.7787 1.0065
O 0.5955 -1.9126 6.0446
O 0.7447 1.8666 4.2838
O -0.6177 4.6353 9.1935
O 1.7921 -0.5185 4.0994
O 0.7787 5.5325 5.6991
O 1.5019 4.4554 3.2931
O 1.2391 -3.0266 8.4431
O 2.6120 3.1078 0.9030
O 1.7674 0.7042 6.6507
O 2.4707 8.3190 2.0748
O 2.4361 2.9431 5.5259
O 3.3055 7.5758 0.4975
O 4.1116 0.9978 0.8898
O 3.4104 1.6689 3.4682
O 1.9902 4.5400 8.0229
O 2.3728 -0.1969 9.0381
O 3.7326 5.4130 1.7818
O 2.9688 6.6999 4.4938
O 3.4045 -1.5475 7.0207
O 4.5386 -0.9264 2.5886
O 3.9874 0.6622 5.8036
O 4.5065 7.9616 0.7360

Unit: kJ/mol of atoms. Relative energies: version P 6.5; version Q 0.0; version R 13.4.